Entry 1:
{"formula": "Pm3Bi2Te", "functional": "PBE", "state": "relaxed", "lattice_angstrom": [[-0.1797, 2.9104, -7.3005], [-1.2192, -7.6726, 1.2019], [-6.7874, 2.8449, 2.7112]], "species": ["Bi", "Bi", "Bi", "Bi", "Pm", "Pm", "Pm", "Pm", "Pm", "Pm", "Te", "Te"], "frac_coords": [[0.0000, 0.0000, 0.0000], [0.8334, 0.1666, 0.5000], [0.5000, 0.5000, 0.5000], [0.1666, 0.8334, 0.5000], [0.7511, 0.7511, 0.2507], [0.4163, 0.0840, 0.2521], [0.0840, 0.4163, 0.2521], [0.9160, 0.5837, 0.7479], [0.5837, 0.9160, 0.7479], [0.2489, 0.2489, 0.7493], [0.6667, 0.3333, 0.0000], [0.3333, 0.6667, 0.0000]], "dft_energy_ev_per_fu": -32.3, "mass_density_g_cm3": 8.23, "spacegroup": "C2/m (12)"}


Entry 2:
{"formula": "PmBiTe", "functional": "PBE", "state": "relaxed", "lattice_angstrom": [[-2.2184, 2.2184, 9.5667], [2.2184, -2.2184, 9.5667], [2.2184, 2.2184, -9.5667]], "species": ["Bi", "Bi", "Pm", "Pm", "Te", "Te"], "frac_coords": [[0.5000, 0.0000, 0.5000], [0.0000, 0.5000, 0.5000], [0.3571, 0.3571, 0.0000], [0.6429, 0.6429, 0.0000], [0.1874, 0.1874, 0.0000], [0.8126, 0.8126, 0.0000]], "dft_energy_ev_per_fu": -15.1, "polymorph_energy_kj_per_mol_fu": 0, "mass_density_g_cm3": 8.49, "spacegroup": "I4/mmm (139)"}


Entry 3:
{"formula": "Pm5ThBi6", "functional": "PBE", "state": "relaxed", "lattice_angstrom": [[3.9619, -6.8592, 0.0000], [3.9619, 6.8592, 0.0000], [-2.6403, 0.0000, 7.4703]], "species": ["Bi", "Bi", "Bi", "Bi", "Bi", "Bi", "Pm", "Pm", "Pm", "Pm", "Pm", "Th"], "frac_coords": [[0.7500, 0.7500, 0.2497], [0.4167, 0.0835, 0.2504], [0.0835, 0.4167, 0.2504], [0.9165, 0.5833, 0.7496], [0.5833, 0.9165, 0.7496], [0.2500, 0.2500, 0.7503], [0.6666, 0.3334, 0.0000], [0.3334, 0.6666, 0.0000], [0.8332, 0.1668, 0.5000], [0.5000, 0.5000, 0.5000], [0.1668, 0.8332, 0.5000], [0.0000, 0.0000, 0.0000]], "dft_energy_ev_per_fu": -66.4, "mass_density_g_cm3": 9.04, "spacegroup": "C2/m (12)"}


Entry 4:
{"formula": "Pm5Tl2Bi2", "functional": "PBE", "state": "relaxed", "lattice_angstrom": [[8.0761, -4.2118, 0.0000], [8.0761, 4.2118, 0.0000], [0.0000, 0.0000, 8.4110]], "species": ["Bi", "Bi", "Bi", "Bi", "Pm", "Pm", "Pm", "Pm", "Pm", "Pm", "Pm", "Pm", "Pm", "Pm", "Tl", "Tl", "Tl", "Tl"], "frac_coords": [[0.2043, 0.2043, 0.0000], [0.7957, 0.7957, 0.0000], [0.2957, 0.2957, 0.5000], [0.7043, 0.7043, 0.5000], [0.0000, 0.0000, 0.0000], [0.1928, 0.5355, 0.1672], [0.4645, 0.8072, 0.1672], [0.6928, 0.0355, 0.3328], [0.9645, 0.3072, 0.3328], [0.5000, 0.5000, 0.5000], [0.0355, 0.6928, 0.6672], [0.3072, 0.9645, 0.6672], [0.5355, 0.1928, 0.8328], [0.8072, 0.4645, 0.8328], [0.6302, 0.3698, 0.1290], [0.1302, 0.8698, 0.3710], [0.8698, 0.1302, 0.6290], [0.3698, 0.6302, 0.8710]], "dft_energy_ev_per_fu": -42.2, "mass_density_g_cm3": 9.01, "spacegroup": "Cmce (64)"}